Entry 1:
Material: BaLi2Y
Method: DFT, PBE
State: optimized geometry

Summary:
- space-group type = R-3m (166)
- total magnetization (μB per cell) = 0.03
- ΔE to the lowest computed polymorph (meV/atom) = 113

Geometry as extended XYZ:
```
4
Lattice="1.8354 1.0597 11.2952 -1.8354 1.0597 11.2952 0.0000 -2.1194 11.2952" Properties=species:S:1:pos:R:3 pbc="T T T"
Ba 0.0000 0.0000 0.0000
Li 0.0000 0.0000 8.2770
Li 0.0000 0.0000 25.6086
Y 0.0000 0.0000 16.9428
```

***

Entry 2:
Material: BaLi2Y
Method: DFT, PBE
State: optimized geometry

Summary:
- space-group type = P4mm (99)
- total magnetization (μB per cell) = 0.23
- ΔE to the lowest computed polymorph (meV/atom) = 0

Geometry as extended XYZ:
```
4
Lattice="3.8378 0.0000 0.0000 0.0000 3.8378 0.0000 0.0000 0.0000 8.7734" Properties=species:S:1:pos:R:3 pbc="T T T"
Ba 0.0000 0.0000 0.0000
Li 0.0000 0.0000 3.8141
Li 1.9189 1.9189 2.5827
Y 1.9189 1.9189 5.7974
```